Entry 1:
{"formula": "Ho6Al7Cu16", "functional": "SCAN", "state": "single point on PBEsol structure", "cell": [[8.569, 0.000, 0.000], [4.285, 7.421, 0.000], [4.285, 2.474, 6.997]], "species": ["Al", "Al", "Al", "Al", "Al", "Al", "Al", "Ho", "Ho", "Ho", "Ho", "Ho", "Ho", "Cu", "Cu", "Cu", "Cu", "Cu", "Cu", "Cu", "Cu", "Cu", "Cu", "Cu", "Cu", "Cu", "Cu", "Cu", "Cu"], "fractional_positions": [[0.000, 0.000, 0.000], [0.000, 0.500, 0.000], [0.500, 0.500, 0.000], [0.000, 0.500, 0.500], [0.500, 0.000, 0.500], [0.000, 0.000, 0.500], [0.500, 0.000, 0.000], [0.288, 0.288, 0.712], [0.712, 0.288, 0.712], [0.288, 0.712, 0.712], [0.712, 0.712, 0.288], [0.288, 0.712, 0.288], [0.712, 0.288, 0.288], [0.021, 0.326, 0.326], [0.122, 0.122, 0.635], [0.326, 0.326, 0.021], [0.674, 0.674, 0.674], [0.365, 0.878, 0.878], [0.674, 0.979, 0.674], [0.326, 0.326, 0.326], [0.122, 0.635, 0.122], [0.635, 0.122, 0.122], [0.122, 0.122, 0.122], [0.878, 0.365, 0.878], [0.878, 0.878, 0.878], [0.979, 0.674, 0.674], [0.878, 0.878, 0.365], [0.674, 0.674, 0.979], [0.326, 0.021, 0.326]], "final_energy_ev_per_cell": -604.64, "e_form_ev_per_atom": -0.46, "spacegroup": "No. 225"}



Entry 2:
{"formula": "Li2ScAg2", "functional": "SCAN", "state": "single point on PBEsol structure", "cell": [[2.966, 0.000, 0.000], [0.000, 7.455, 0.000], [0.000, 0.000, 7.455]], "species": ["Ag", "Ag", "Ag", "Ag", "Li", "Li", "Li", "Li", "Sc", "Sc"], "fractional_positions": [[0.500, 0.185, 0.685], [0.500, 0.315, 0.185], [0.500, 0.685, 0.815], [0.500, 0.815, 0.315], [0.000, 0.385, 0.885], [0.000, 0.615, 0.115], [0.000, 0.115, 0.385], [0.000, 0.885, 0.615], [0.000, 0.500, 0.500], [0.000, 0.000, 0.000]], "final_energy_ev_per_cell": -165.20, "e_form_ev_per_atom": -0.17, "spacegroup": "No. 127"}



Entry 3:
{"formula": "Rb2BeSe2", "functional": "SCAN", "state": "single point on PBEsol structure", "cell": [[6.573, 0.000, 0.000], [-3.286, 6.636, 0.026], [0.000, 3.233, 5.723]], "species": ["Rb", "Rb", "Se", "Se", "Be"], "fractional_positions": [[0.750, 0.500, 0.750], [0.250, 0.500, 0.250], [0.827, 0.653, 0.173], [0.173, 0.347, 0.827], [0.000, 0.000, 0.000]], "final_energy_ev_per_cell": -91.31, "spacegroup": "No. 139", "e_form_raw_ev_per_atom": -1.065}



Entry 4:
{"formula": "Sr2LiH", "functional": "SCAN", "state": "single point on PBEsol structure", "cell": [[5.554, 0.000, 0.000], [2.777, 4.810, 0.000], [2.777, 1.603, 4.535]], "species": ["Li", "H", "Sr", "Sr"], "fractional_positions": [[0.500, 0.500, 0.500], [0.000, 0.000, 0.000], [0.250, 0.250, 0.250], [0.750, 0.750, 0.750]], "final_energy_ev_per_cell": -49.17, "spacegroup": "No. 225"}



Entry 5:
{"formula": "KCr3", "functional": "SCAN", "state": "single point on PBEsol structure", "cell": [[4.559, 0.000, 0.000], [0.000, 4.559, 0.000], [0.000, 0.000, 4.559]], "species": ["Cr", "Cr", "Cr", "K"], "fractional_positions": [[0.500, 0.500, 0.000], [0.500, 0.000, 0.500], [0.000, 0.500, 0.500], [0.000, 0.000, 0.000]], "final_energy_ev_per_cell": -58.45, "e_form_ev_per_atom": 1.26, "spacegroup": "No. 221"}



Entry 6:
{"formula": "Co21B6W2", "functional": "SCAN", "state": "single point on PBEsol structure", "cell": [[7.288, 0.000, 0.000], [3.644, 6.312, 0.000], [3.644, 2.104, 5.951]], "species": ["Co", "Co", "Co", "Co", "Co", "Co", "Co", "Co", "Co", "Co", "Co", "Co", "Co", "Co", "Co", "Co", "Co", "Co", "Co", "Co", "Co", "B", "B", "B", "B", "B", "B", "W", "W"], "fractional_positions": [[0.662, 0.000, 0.338], [0.000, 0.338, 0.000], [0.382, 0.382, 0.854], [0.618, 0.618, 0.618], [0.618, 0.618, 0.146], [0.618, 0.146, 0.618], [0.662, 0.000, 0.000], [0.146, 0.618, 0.618], [0.382, 0.854, 0.382], [0.000, 0.000, 0.000], [0.000, 0.662, 0.000], [0.662, 0.338, 0.000], [0.854, 0.382, 0.382], [0.338, 0.000, 0.000], [0.000, 0.000, 0.338], [0.000, 0.338, 0.662], [0.000, 0.000, 0.662], [0.382, 0.382, 0.382], [0.338, 0.662, 0.000], [0.338, 0.000, 0.662], [0.000, 0.662, 0.338], [0.726, 0.274, 0.726], [0.726, 0.726, 0.274], [0.274, 0.726, 0.726], [0.726, 0.274, 0.274], [0.274, 0.726, 0.274], [0.274, 0.274, 0.726], [0.750, 0.750, 0.750], [0.250, 0.250, 0.250]], "final_energy_ev_per_cell": -551.35, "e_form_ev_per_atom": -0.14, "spacegroup": "No. 225"}



Entry 7:
{"formula": "GaMoAsPb2", "functional": "SCAN", "state": "single point on PBEsol structure", "cell": [[-1.465, 4.122, 1.880], [-3.792, 0.383, -3.795], [-3.437, -2.664, 3.165]], "species": ["Pb", "Pb", "Ga", "Mo", "As"], "fractional_positions": [[0.000, 0.000, 0.500], [0.000, 0.500, 0.000], [0.500, 0.500, 0.500], [0.000, 0.000, 0.000], [0.500, 0.000, 0.000]], "final_energy_ev_per_cell": -220.63, "e_form_ev_per_atom": 0.47, "spacegroup": "No. 123"}



Entry 8:
{"formula": "Li3In", "functional": "SCAN", "state": "single point on PBEsol structure", "cell": [[-1.824, -3.020, 0.530], [3.694, -1.947, 1.618], [-2.001, 3.841, 2.994]], "species": ["Li", "Li", "Li", "In"], "fractional_positions": [[0.500, 0.000, 0.000], [0.242, 0.242, 0.484], [0.758, 0.758, 0.516], [0.000, 0.500, 0.000]], "final_energy_ev_per_cell": -41.76, "e_form_ev_per_atom": -0.30, "spacegroup": "No. 71"}